Here is a relaxed MgNiO2 crystal from the Alexandria database. Energies are from GGA+U.

The structure in POSCAR format:
```
MgNiO2
1.0
2.9045 0.0000 0.0000
-1.4519 8.1216 0.0000
-1.4487 -1.5279 8.0794
Mg Ni O
4 4 8
Direct
0.0805 0.2112 0.4508
0.2682 0.8396 0.1966
0.7318 0.1604 0.8034
0.9195 0.7888 0.5492
0.1193 0.8716 0.8656
0.3399 0.4849 0.6930
0.6601 0.5151 0.3070
0.8807 0.1284 0.1344
0.0712 0.3636 0.2798
0.2764 0.6917 0.3631
0.3014 0.1452 0.9580
0.4443 0.0728 0.3167
0.5557 0.9272 0.6833
0.6986 0.8548 0.0420
0.7236 0.3083 0.6369
0.9288 0.6364 0.7202
```

Values from the calculation:
For the total energy, the calculation gives -0.3792 Ry per atom. Its size of the total moment is 1.0 μB per formula unit. The value obtained for the density is 4.0 g/cm³. Its density of states at the Fermi level is 0.000 states/eV/cell.